An optimized crystal structure of PaBeTc. Source: OQMD, functional PBE.

a b c (Å): 5.956 5.956 5.956
angles (deg): 90.00 90.00 90.00
Space group F-43m (No. 216)
Symmetry-distinct sites (fractional):
Pa 0.000 0.000 0.000 x4
Be 0.250 0.250 0.250 x4
Tc 0.000 0.000 0.500 x4

As for the total energy: -92.22 eV for the cell shown.